{"formula": "BaTl2Ni", "functional": "GGA-PBE", "state": "relaxed", "ef_ev_per_atom": -0.013, "space_group": "Immm", "n_ef_per_ev_cell": 3.57, "lattice": [[6.166, -0.023, 0.006], [2.121, 5.790, -0.006], [-3.296, -4.101, 3.215]], "species": ["Ba", "Ni", "Tl", "Tl"], "frac_coords": [[0.750, 0.250, 0.500], [0.250, 0.750, 0.500], [0.057, 0.057, 0.000], [0.443, 0.443, 0.000]]}



{"formula": "Ba2TlNi", "functional": "GGA-PBE", "state": "relaxed", "ef_ev_per_atom": 0.156, "space_group": "F-43m", "n_ef_per_ev_cell": 5.39, "lattice": [[5.540, 0.000, 0.000], [2.770, 4.798, 0.000], [2.770, 1.599, 4.524]], "species": ["Ba", "Ba", "Ni", "Tl"], "frac_coords": [[0.000, 0.000, 0.000], [0.250, 0.250, 0.250], [0.500, 0.500, 0.500], [0.750, 0.750, 0.750]]}



{"formula": "BaTlNi", "functional": "GGA-PBE", "state": "relaxed", "ef_ev_per_atom": -0.060, "space_group": "P3m1", "polymorph_energy_mev_per_atom": 0.0, "n_ef_per_ev_cell": 3.70, "lattice": [[4.640, 0.000, 0.000], [-2.320, 4.018, 0.000], [0.000, 0.000, 4.800]], "species": ["Ba", "Ni", "Tl"], "frac_coords": [[0.000, 0.000, 0.000], [0.667, 0.333, 0.499], [0.333, 0.667, 0.500]]}



{"formula": "BaTl2Ni", "functional": "GGA-PBE", "state": "relaxed", "ef_ev_per_atom": 0.078, "space_group": "I-42d", "n_ef_per_ev_cell": 0.71, "lattice": [[-3.734, -2.434, 3.958], [-0.560, -4.805, -3.483], [4.105, -7.080, 4.007]], "species": ["Ni", "Ni", "Tl", "Tl", "Tl", "Tl", "Ba", "Ba"], "frac_coords": [[0.500, 0.500, 0.000], [0.250, 0.750, 0.500], [0.435, 0.125, 0.250], [0.315, 0.625, 0.250], [0.375, 0.565, 0.750], [0.875, 0.685, 0.750], [0.000, 0.000, 0.000], [0.750, 0.250, 0.500]]}



Please write out number 4 again, unchanged.
{"formula": "BaTl2Ni", "functional": "GGA-PBE", "state": "relaxed", "ef_ev_per_atom": 0.078, "space_group": "I-42d", "n_ef_per_ev_cell": 0.71, "lattice": [[-3.734, -2.434, 3.958], [-0.560, -4.805, -3.483], [4.105, -7.080, 4.007]], "species": ["Ni", "Ni", "Tl", "Tl", "Tl", "Tl", "Ba", "Ba"], "frac_coords": [[0.500, 0.500, 0.000], [0.250, 0.750, 0.500], [0.435, 0.125, 0.250], [0.315, 0.625, 0.250], [0.375, 0.565, 0.750], [0.875, 0.685, 0.750], [0.000, 0.000, 0.000], [0.750, 0.250, 0.500]]}